[1]
Material: SmCdIrRh
Method: DFT, PBE-GGA
State: relaxed

Summary:
Crystal system = cubic
Magnetization = 0.0 μB per formula unit
Energy of formation = -0.340 eV per atom
Raw total energy = -5.802 eV/atom
D(E_F) = 6.14 states/eV/cell

Geometry as CIF:
```
data_SmCdIrRh
_chemical_formula_sum 'Sm4 Cd4 Ir4 Rh4'
_cell_length_a 6.7333
_cell_length_b 6.7333
_cell_length_c 6.7333
_cell_angle_alpha 90.00
_cell_angle_beta 90.00
_cell_angle_gamma 90.00
_symmetry_space_group_name_H-M 'F -4 3 m'
_symmetry_Int_Tables_number 216
_symmetry_space_group_name_Hall 'F -4 2 3'
loop_
_atom_site_label
_atom_site_fract_x
_atom_site_fract_y
_atom_site_fract_z
Sm1 0.0000 0.0000 0.0000
Cd1 0.0000 0.0000 0.5000
Ir1 0.2500 0.2500 0.7500
Rh1 0.2500 0.2500 0.2500
```

[2]
Material: BaLiGe2
Method: DFT, PBE-GGA
State: relaxed

Summary:
Crystal system = orthorhombic
Magnetization = 0.0 μB per formula unit
Relative energy among the computed polymorphs = 0.0 meV/atom
Energy of formation = -0.534 eV per atom
Raw total energy = -3.802 eV/atom
D(E_F) = 4.26 states/eV/cell

Geometry as CIF:
```
data_BaLiGe2
_chemical_formula_sum 'Ba4 Li4 Ge8'
_cell_length_a 7.5018
_cell_length_b 4.6483
_cell_length_c 11.9456
_cell_angle_alpha 90.00
_cell_angle_beta 90.00
_cell_angle_gamma 90.00
_symmetry_space_group_name_H-M 'P n m a'
_symmetry_Int_Tables_number 62
_symmetry_space_group_name_Hall '-P 2ac 2n'
loop_
_atom_site_label
_atom_site_fract_x
_atom_site_fract_y
_atom_site_fract_z
Ba1 0.1350 0.2500 0.1404
Li1 0.1164 0.2500 0.4368
Ge1 0.0345 0.2500 0.6597
Ge2 0.2009 0.2500 0.8482
```

[3]
Material: Pm3TlCo3
Method: DFT, PBE-GGA
State: relaxed

Summary:
Crystal system = hexagonal
Magnetization = 2.5 μB per formula unit
Energy of formation = -0.131 eV per atom
Raw total energy = -5.550 eV/atom
D(E_F) = 20.93 states/eV/cell

Geometry as CIF:
```
data_Pm3TlCo3
_chemical_formula_sum 'Pm6 Tl2 Co6'
_cell_length_a 9.9857
_cell_length_b 9.9857
_cell_length_c 3.8475
_cell_angle_alpha 90.00
_cell_angle_beta 90.00
_cell_angle_gamma 120.00
_symmetry_space_group_name_H-M 'P 63/m'
_symmetry_Int_Tables_number 176
_symmetry_space_group_name_Hall '-P 6c'
loop_
_atom_site_label
_atom_site_fract_x
_atom_site_fract_y
_atom_site_fract_z
Pm1 0.0677 0.6917 0.2500
Tl1 0.3333 0.6667 0.7500
Co1 0.0246 0.8713 0.7500
```

[4]
Material: ScBeZn6Cu
Method: DFT, PBE-GGA
State: relaxed

Summary:
Crystal system = orthorhombic
Magnetization = 0.0 μB per formula unit
Energy of formation = 0.061 eV per atom
Raw total energy = -2.361 eV/atom
D(E_F) = 20.74 states/eV/cell

Geometry as CIF:
```
data_ScBeZn6Cu
_chemical_formula_sum 'Sc4 Be4 Zn24 Cu4'
_cell_length_a 6.5318
_cell_length_b 8.3290
_cell_length_c 10.4911
_cell_angle_alpha 90.00
_cell_angle_beta 90.00
_cell_angle_gamma 90.00
_symmetry_space_group_name_H-M 'I m m a'
_symmetry_Int_Tables_number 74
_symmetry_space_group_name_Hall '-I 2b 2'
loop_
_atom_site_label
_atom_site_fract_x
_atom_site_fract_y
_atom_site_fract_z
Sc1 0.0000 0.2500 0.2015
Be1 0.0000 0.0000 0.0000
Zn1 0.0000 0.2500 0.5165
Zn2 0.0000 0.2500 0.9278
Zn3 0.2026 0.0124 0.3727
Cu1 0.2500 0.2500 0.7500
```

> Which of these has the highest D(E_F)?

Pm3TlCo3